# 1
# ErCdPd2 PBE-GGA relaxed
data_ErCdPd2
_cell_length_a 6.742
_cell_length_b 6.742
_cell_length_c 6.742
_cell_angle_alpha 90.00
_cell_angle_beta 90.00
_cell_angle_gamma 90.00
_symmetry_space_group_name_H-M 'F m -3 m'
_symmetry_Int_Tables_number 225
_symmetry_space_group_name_Hall '-F 4 2 3'
loop_
_atom_site_label
_atom_site_fract_x
_atom_site_fract_y
_atom_site_fract_z
Er1 0.000 0.000 0.000
Cd1 0.000 0.000 0.500
Pd1 0.250 0.250 0.250
# Density of states at the Fermi level   6.00 states/eV per cell
# Magnetization   0.000 μB per atom
# Energy of formation   -3.03 eV/f.u.
# DFT total energy   -4.72 eV/atom
# Relative energy among the computed polymorphs   0 meV per atom

=====

# 2
# Er12CdPd6 PBE-GGA relaxed
data_Er12CdPd6
_cell_length_a 9.855
_cell_length_b 9.855
_cell_length_c 9.855
_cell_angle_alpha 90.00
_cell_angle_beta 90.00
_cell_angle_gamma 90.00
_symmetry_space_group_name_H-M 'I m -3'
_symmetry_Int_Tables_number 204
_symmetry_space_group_name_Hall '-I 2 2 3'
loop_
_atom_site_label
_atom_site_fract_x
_atom_site_fract_y
_atom_site_fract_z
Er1 0.000 0.295 0.183
Cd1 0.000 0.000 0.000
Pd1 0.000 0.138 0.500
# Density of states at the Fermi level   45.27 states/eV per cell
# Magnetization   0.000 μB per atom
# Energy of formation   -11.41 eV/f.u.
# DFT total energy   -5.17 eV/atom
# Relative energy among the computed polymorphs   0 meV per atom

=====

# 3
# ErCdPd6 PBE-GGA relaxed
data_ErCdPd6
_cell_length_a 8.354
_cell_length_b 5.373
_cell_length_c 7.187
_cell_angle_alpha 90.00
_cell_angle_beta 106.99
_cell_angle_gamma 90.00
_symmetry_space_group_name_H-M 'C 1 2/m 1'
_symmetry_Int_Tables_number 12
_symmetry_space_group_name_Hall '-C 2y'
loop_
_atom_site_label
_atom_site_fract_x
_atom_site_fract_y
_atom_site_fract_z
Er1 0.000 0.000 0.000
Cd1 0.000 0.500 0.500
Pd1 0.139 0.000 0.436
Pd2 0.206 0.241 0.801
# Density of states at the Fermi level   9.27 states/eV per cell
# Magnetization   0.000 μB per atom
# Energy of formation   -2.17 eV/f.u.
# DFT total energy   -4.85 eV/atom

=====

# 4
# Er2Cd3Pd4 PBE-GGA relaxed
data_Er2Cd3Pd4
_cell_length_a 8.271
_cell_length_b 4.724
_cell_length_c 8.954
_cell_angle_alpha 90.00
_cell_angle_beta 90.80
_cell_angle_gamma 90.00
_symmetry_space_group_name_H-M 'C 1 2/m 1'
_symmetry_Int_Tables_number 12
_symmetry_space_group_name_Hall '-C 2y'
loop_
_atom_site_label
_atom_site_fract_x
_atom_site_fract_y
_atom_site_fract_z
Er1 0.168 0.000 0.214
Cd1 0.000 0.500 0.000
Cd2 0.165 0.000 0.574
Pd1 0.003 0.500 0.338
Pd2 0.166 0.000 0.893
# Density of states at the Fermi level   9.47 states/eV per cell
# Magnetization   0.000 μB per atom
# Energy of formation   -5.79 eV/f.u.
# DFT total energy   -4.27 eV/atom

=====

# 5
# ErCdPd PBE-GGA relaxed
data_ErCdPd
_cell_length_a 5.0360
_cell_length_b 5.0360
_cell_length_c 5.7872
_cell_angle_alpha 90.00
_cell_angle_beta 90.00
_cell_angle_gamma 120.00
_symmetry_space_group_name_H-M 'P 63/m m c'
_symmetry_Int_Tables_number 194
_symmetry_space_group_name_Hall '-P 6c 2c'
loop_
_atom_site_label
_atom_site_fract_x
_atom_site_fract_y
_atom_site_fract_z
Er1 0.3333 0.6667 0.2500
Cd1 0.0000 0.0000 0.0000
Pd1 0.3333 0.6667 0.7500
# Density of states at the Fermi level   3.28 states/eV per cell
# Magnetization   0.000 μB per atom
# Energy of formation   -1.97 eV/f.u.
# DFT total energy   -4.21 eV/atom

=====

# 6
# ErCd2Pd5 PBE-GGA relaxed
data_ErCd2Pd5
_cell_length_a 4.206
_cell_length_b 4.206
_cell_length_c 15.793
_cell_angle_alpha 90.00
_cell_angle_beta 90.00
_cell_angle_gamma 90.00
_symmetry_space_group_name_H-M 'I 4/m m m'
_symmetry_Int_Tables_number 139
_symmetry_space_group_name_Hall '-I 4 2'
loop_
_atom_site_label
_atom_site_fract_x
_atom_site_fract_y
_atom_site_fract_z
Er1 0.000 0.000 0.000
Cd1 0.000 0.000 0.252
Pd1 0.000 0.000 0.500
Pd2 0.000 0.500 0.127
# Density of states at the Fermi level   5.67 states/eV per cell
# Magnetization   0.000 μB per atom
# Energy of formation   -4.97 eV/f.u.
# DFT total energy   -4.67 eV/atom

=====

# 7
# ErCdPd PBE-GGA relaxed
data_ErCdPd
_cell_length_a 6.625
_cell_length_b 6.625
_cell_length_c 6.625
_cell_angle_alpha 90.00
_cell_angle_beta 90.00
_cell_angle_gamma 90.00
_symmetry_space_group_name_H-M 'F -4 3 m'
_symmetry_Int_Tables_number 216
_symmetry_space_group_name_Hall 'F -4 2 3'
loop_
_atom_site_label
_atom_site_fract_x
_atom_site_fract_y
_atom_site_fract_z
Er1 0.000 0.000 0.000
Cd1 0.000 0.000 0.500
Pd1 0.250 0.250 0.750
# Density of states at the Fermi level   6.72 states/eV per cell
# Magnetization   0.000 μB per atom
# Energy of formation   -1.69 eV/f.u.
# DFT total energy   -4.12 eV/atom

=====

# 8
# Er7CdPd4 PBE-GGA relaxed
data_Er7CdPd4
_cell_length_a 13.698
_cell_length_b 5.497
_cell_length_c 9.579
_cell_angle_alpha 90.00
_cell_angle_beta 124.93
_cell_angle_gamma 90.00
_symmetry_space_group_name_H-M 'C 1 2/m 1'
_symmetry_Int_Tables_number 12
_symmetry_space_group_name_Hall '-C 2y'
loop_
_atom_site_label
_atom_site_fract_x
_atom_site_fract_y
_atom_site_fract_z
Er1 0.000 0.000 0.000
Er2 0.069 0.500 0.377
Er3 0.195 0.000 0.643
Er4 0.212 0.500 0.883
Cd1 0.000 0.500 0.000
Pd1 0.063 0.000 0.770
Pd2 0.200 0.000 0.342
# Density of states at the Fermi level   21.82 states/eV per cell
# Magnetization   0.000 μB per atom
# Energy of formation   -5.39 eV/f.u.
# DFT total energy   -4.92 eV/atom

=====

# 9
# ErCd2Pd3 PBE-GGA relaxed
data_ErCd2Pd3
_cell_length_a 4.7442
_cell_length_b 4.7442
_cell_length_c 5.7219
_cell_angle_alpha 90.00
_cell_angle_beta 90.00
_cell_angle_gamma 120.00
_symmetry_space_group_name_H-M 'P -3 m 1'
_symmetry_Int_Tables_number 164
_symmetry_space_group_name_Hall '-P 3 2"'
loop_
_atom_site_label
_atom_site_fract_x
_atom_site_fract_y
_atom_site_fract_z
Er1 0.0000 0.0000 0.0000
Cd1 0.3333 0.6667 0.6669
Pd1 0.0000 0.0000 0.5000
Pd2 0.3333 0.6667 0.1750
# Density of states at the Fermi level   3.35 states/eV per cell
# Magnetization   0.000 μB per atom
# Energy of formation   -3.73 eV/f.u.
# DFT total energy   -4.28 eV/atom
# Relative energy among the computed polymorphs   8 meV per atom

=====

# 10
# Er2Cd2Pd7 PBE-GGA relaxed
data_Er2Cd2Pd7
_cell_length_a 7.209
_cell_length_b 9.039
_cell_length_c 7.013
_cell_angle_alpha 90.00
_cell_angle_beta 90.00
_cell_angle_gamma 90.00
_symmetry_space_group_name_H-M 'C m m m'
_symmetry_Int_Tables_number 65
_symmetry_space_group_name_Hall '-C 2 2'
loop_
_atom_site_label
_atom_site_fract_x
_atom_site_fract_y
_atom_site_fract_z
Er1 0.000 0.198 0.000
Cd1 0.184 0.500 0.500
Pd1 0.000 0.000 0.293
Pd2 0.000 0.500 0.000
Pd3 0.250 0.250 0.291
# Density of states at the Fermi level   9.35 states/eV per cell
# Magnetization   0.000 μB per atom
# Energy of formation   -2.77 eV/f.u.
# DFT total energy   -4.55 eV/atom

=====

# 11
# Er11Cd9Pd4 PBE-GGA relaxed
data_Er11Cd9Pd4
_cell_length_a 14.533
_cell_length_b 21.895
_cell_length_c 3.607
_cell_angle_alpha 90.00
_cell_angle_beta 90.00
_cell_angle_gamma 90.00
_symmetry_space_group_name_H-M 'C m m m'
_symmetry_Int_Tables_number 65
_symmetry_space_group_name_Hall '-C 2 2'
loop_
_atom_site_label
_atom_site_fract_x
_atom_site_fract_y
_atom_site_fract_z
Er1 0.000 0.000 0.000
Er2 0.000 0.162 0.000
Er3 0.000 0.370 0.000
Er4 0.197 0.500 0.000
Er5 0.244 0.170 0.000
Cd1 0.000 0.500 0.500
Cd2 0.106 0.261 0.500
Cd3 0.142 0.072 0.500
Pd1 0.150 0.400 0.500
# Density of states at the Fermi level   39.76 states/eV per cell
# Magnetization   0.000 μB per atom
# Energy of formation   -13.11 eV/f.u.
# DFT total energy   -3.85 eV/atom

=====

# 12
# Er6CdPd PBE-GGA relaxed
data_Er6CdPd
_cell_length_a 6.980
_cell_length_b 6.981
_cell_length_c 7.144
_cell_angle_alpha 90.23
_cell_angle_beta 118.99
_cell_angle_gamma 119.73
_symmetry_space_group_name_H-M 'P -1'
_symmetry_Int_Tables_number 2
_symmetry_space_group_name_Hall '-P 1'
loop_
_atom_site_label
_atom_site_fract_x
_atom_site_fract_y
_atom_site_fract_z
Er1 0.030 0.069 0.254
Er2 0.291 0.723 0.253
Er3 0.311 0.536 0.746
Cd1 0.500 0.000 0.000
Pd1 0.500 0.500 0.500
# Density of states at the Fermi level   11.50 states/eV per cell
# Magnetization   0.000 μB per atom
# Energy of formation   -0.04 eV/f.u.
# DFT total energy   -4.19 eV/atom

=====

# 13
# Er2CdPd4 PBE-GGA relaxed
data_Er2CdPd4
_cell_length_a 4.059
_cell_length_b 4.059
_cell_length_c 18.323
_cell_angle_alpha 90.00
_cell_angle_beta 90.00
_cell_angle_gamma 90.00
_symmetry_space_group_name_H-M 'I 4/m m m'
_symmetry_Int_Tables_number 139
_symmetry_space_group_name_Hall '-I 4 2'
loop_
_atom_site_label
_atom_site_fract_x
_atom_site_fract_y
_atom_site_fract_z
Er1 0.000 0.000 0.133
Cd1 0.000 0.000 0.500
Pd1 0.000 0.000 0.355
Pd2 0.000 0.500 0.250
# Density of states at the Fermi level   8.12 states/eV per cell
# Magnetization   0.000 μB per atom
# Energy of formation   -4.92 eV/f.u.
# DFT total energy   -5.10 eV/atom
# Relative energy among the computed polymorphs   0 meV per atom

=====

# 14
# ErCd3Pd6 PBE-GGA relaxed
data_ErCd3Pd6
_cell_length_a 8.784
_cell_length_b 4.270
_cell_length_c 9.422
_cell_angle_alpha 90.00
_cell_angle_beta 95.42
_cell_angle_gamma 90.00
_symmetry_space_group_name_H-M 'P 1 21/m 1'
_symmetry_Int_Tables_number 11
_symmetry_space_group_name_Hall '-P 2yb'
loop_
_atom_site_label
_atom_site_fract_x
_atom_site_fract_y
_atom_site_fract_z
Er1 0.063 0.250 0.375
Cd1 0.247 0.250 0.014
Cd2 0.345 0.750 0.807
Cd3 0.448 0.250 0.602
Pd1 0.054 0.750 0.910
Pd2 0.149 0.250 0.703
Pd3 0.153 0.750 0.206
Pd4 0.251 0.750 0.506
Pd5 0.363 0.250 0.302
Pd6 0.454 0.750 0.100
# Density of states at the Fermi level   5.91 states/eV per cell
# Magnetization   0.000 μB per atom
# Energy of formation   -5.42 eV/f.u.
# DFT total energy   -4.39 eV/atom
# Relative energy among the computed polymorphs   0 meV per atom

=====

# 15
# Er6Cd5Pd PBE-GGA relaxed
data_Er6Cd5Pd
_cell_length_a 5.185
_cell_length_b 15.561
_cell_length_c 7.354
_cell_angle_alpha 90.00
_cell_angle_beta 90.00
_cell_angle_gamma 90.00
_symmetry_space_group_name_H-M 'C m m m'
_symmetry_Int_Tables_number 65
_symmetry_space_group_name_Hall '-C 2 2'
loop_
_atom_site_label
_atom_site_fract_x
_atom_site_fract_y
_atom_site_fract_z
Er1 0.000 0.000 0.237
Er2 0.000 0.341 0.244
Cd1 0.000 0.170 0.500
Cd2 0.000 0.174 0.000
Cd3 0.000 0.500 0.500
Pd1 0.000 0.500 0.000
# Density of states at the Fermi level   17.44 states/eV per cell
# Magnetization   0.000 μB per atom
# Energy of formation   -4.90 eV/f.u.
# DFT total energy   -3.50 eV/atom

=====

# 16
# Er4CdPd2 PBE-GGA relaxed
data_Er4CdPd2
_cell_length_a 4.7147
_cell_length_b 4.7147
_cell_length_c 28.7651
_cell_angle_alpha 90.00
_cell_angle_beta 90.00
_cell_angle_gamma 120.00
_symmetry_space_group_name_H-M 'R -3 m'
_symmetry_Int_Tables_number 166
_symmetry_space_group_name_Hall '-R 3 2"'
loop_
_atom_site_label
_atom_site_fract_x
_atom_site_fract_y
_atom_site_fract_z
Er1 0.0000 0.0000 0.1131
Er2 0.0000 0.0000 0.2977
Cd1 0.0000 0.0000 0.5000
Pd1 0.0000 0.0000 0.4006
# Density of states at the Fermi level   19.37 states/eV per cell
# Magnetization   0.000 μB per atom
# Energy of formation   -3.22 eV/f.u.
# DFT total energy   -4.68 eV/atom
# Relative energy among the computed polymorphs   61 meV per atom

=====

# 17
# Er5Cd2Pd12 PBE-GGA relaxed
data_Er5Cd2Pd12
_cell_length_a 16.722
_cell_length_b 5.575
_cell_length_c 9.502
_cell_angle_alpha 90.00
_cell_angle_beta 116.28
_cell_angle_gamma 90.00
_symmetry_space_group_name_H-M 'C 1 2/m 1'
_symmetry_Int_Tables_number 12
_symmetry_space_group_name_Hall '-C 2y'
loop_
_atom_site_label
_atom_site_fract_x
_atom_site_fract_y
_atom_site_fract_z
Er1 0.000 0.000 0.000
Er2 0.159 0.500 0.371
Er3 0.184 0.500 0.876
Cd1 0.000 0.250 0.500
Pd1 0.010 0.500 0.863
Pd2 0.107 0.000 0.810
Pd3 0.158 0.249 0.107
Pd4 0.185 0.239 0.628
# Density of states at the Fermi level   17.52 states/eV per cell
# Magnetization   0.000 μB per atom
# Energy of formation   -10.42 eV/f.u.
# DFT total energy   -5.13 eV/atom

=====

# 18
# Er2Cd2Pd3 PBE-GGA relaxed
data_Er2Cd2Pd3
_cell_length_a 9.657
_cell_length_b 4.276
_cell_length_c 7.334
_cell_angle_alpha 90.00
_cell_angle_beta 105.80
_cell_angle_gamma 90.00
_symmetry_space_group_name_H-M 'C 1 2/m 1'
_symmetry_Int_Tables_number 12
_symmetry_space_group_name_Hall '-C 2y'
loop_
_atom_site_label
_atom_site_fract_x
_atom_site_fract_y
_atom_site_fract_z
Er1 0.128 0.000 0.313
Cd1 0.125 0.500 0.929
Pd1 0.000 0.500 0.500
Pd2 0.175 0.000 0.708
# Density of states at the Fermi level   6.28 states/eV per cell
# Magnetization   0.000 μB per atom
# Energy of formation   -4.90 eV/f.u.
# DFT total energy   -4.49 eV/atom

=====

# 19
# ErCd2Pd3 PBE-GGA relaxed
data_ErCd2Pd3
_cell_length_a 4.7287
_cell_length_b 4.7287
_cell_length_c 11.5254
_cell_angle_alpha 90.00
_cell_angle_beta 90.00
_cell_angle_gamma 120.00
_symmetry_space_group_name_H-M 'P -3 m 1'
_symmetry_Int_Tables_number 164
_symmetry_space_group_name_Hall '-P 3 2"'
loop_
_atom_site_label
_atom_site_fract_x
_atom_site_fract_y
_atom_site_fract_z
Er1 0.3333 0.6667 0.1688
Cd1 0.0000 0.0000 0.0000
Cd2 0.0000 0.0000 0.5000
Cd3 0.3333 0.6667 0.6627
Pd1 0.0000 0.0000 0.2557
Pd2 0.3333 0.6667 0.4164
Pd3 0.3333 0.6667 0.9152
# Density of states at the Fermi level   5.83 states/eV per cell
# Magnetization   0.000 μB per atom
# Energy of formation   -3.78 eV/f.u.
# DFT total energy   -4.29 eV/atom
# Relative energy among the computed polymorphs   0 meV per atom

=====

# 20
# Er3CdPd3 PBE-GGA relaxed
data_Er3CdPd3
_cell_length_a 8.3025
_cell_length_b 8.3025
_cell_length_c 5.0793
_cell_angle_alpha 90.00
_cell_angle_beta 90.00
_cell_angle_gamma 120.00
_symmetry_space_group_name_H-M 'P 63/m'
_symmetry_Int_Tables_number 176
_symmetry_space_group_name_Hall '-P 6c'
loop_
_atom_site_label
_atom_site_fract_x
_atom_site_fract_y
_atom_site_fract_z
Er1 0.0855 0.6708 0.2500
Cd1 0.3333 0.6667 0.7500
Pd1 0.0442 0.8208 0.7500
# Density of states at the Fermi level   7.14 states/eV per cell
# Magnetization   0.000 μB per atom
# Energy of formation   -4.54 eV/f.u.
# DFT total energy   -4.96 eV/atom